Density functional theory data (GGA-PBE) for an optimized crystal structure of LaTcAs2F.

Unit cell a=4.8822 b=4.5013 c=4.8822 alpha=90.00 beta=90.00 gamma=90.00
Fractional positions:
1 As 0.0000 0.0000 0.5000
2 As 0.5000 0.0000 0.0000
3 F 0.0000 0.0000 0.0000
4 Tc 0.5000 0.5000 0.5000
5 La 0.0000 0.5000 0.0000

The energy relative to the lowest polymorph listed for this composition comes out at 17.52 kcal/mol of atoms. Its space-group type is P4/mmm, No. 123. The energy relative to the elements, uncorrected comes out at -0.63 eV per formula unit. As for the total energy: -0.1991 hartree per atom. The calculated density is 6.280 g/cm3. The calculation puts the volume at 21.46 A^3/atom.

***

Density functional theory data (GGA-PBE) for an optimized crystal structure of TaBeCd2.

Unit cell a=5.6601 b=5.6601 c=2.7516 alpha=79.61 beta=79.61 gamma=120.71
Fractional positions:
1 Be 0.0000 0.5000 0.5000
2 Cd 0.0000 0.0000 0.0000
3 Cd 0.5000 0.5000 0.0000
4 Ta 0.5000 0.0000 0.5000

Its space-group type is C2/m, No. 12. For the formation energy, the calculation gives 0.45 eV per atom. As for the total energy: -0.1432 hartree per atom. The calculated density is 9.759 g/cm3. The calculation puts the volume at 17.64 A^3/atom.

***

Density functional theory data (GGA-PBE) for an optimized crystal structure of IrPt3.

Unit cell a=4.6924 b=4.7752 c=5.5234 alpha=90.00 beta=90.00 gamma=90.00
Fractional positions:
1 Ir 0.0000 0.3350 0.0000
2 Ir 0.5000 0.6650 0.5000
3 Pt 0.5000 0.6591 0.0000
4 Pt 0.0000 0.8346 0.2481
5 Pt 0.5000 0.1654 0.2519
6 Pt 0.0000 0.3409 0.5000
7 Pt 0.0000 0.8346 0.7519
8 Pt 0.5000 0.1654 0.7481

Its space-group type is Pmmn, No. 59. For the formation energy, the calculation gives 0.12 eV per atom. As for the total energy: -0.2434 hartree per atom. The calculated density is 20.863 g/cm3. The calculation puts the volume at 15.47 A^3/atom.

***

Density functional theory data (GGA-PBE) for an optimized crystal structure of LiSbAu2.

Unit cell a=5.0415 b=5.0415 c=5.0415 alpha=128.72 beta=128.70 gamma=75.48
Fractional positions:
1 Sb 0.2500 0.7500 0.5000
2 Au 0.9999 0.9999 0.0000
3 Au 0.5001 0.5001 0.0000
4 Li 0.7500 0.2500 0.5000

Its space-group type is I4/mmm, No. 139. The energy relative to the elements, uncorrected comes out at -1.22 eV per formula unit. As for the total energy: -0.1269 hartree per atom. The calculated density is 11.430 g/cm3. The calculation puts the volume at 18.98 A^3/atom.

***

Density functional theory data (GGA-PBE) for an optimized crystal structure of BaAlBiF2.

Unit cell a=4.7693 b=8.8320 c=4.7693 alpha=90.00 beta=90.00 gamma=90.00
Fractional positions:
1 F 0.0000 0.0000 0.5000
2 F 0.5000 0.0000 0.0000
3 Al 0.0000 0.5000 0.0000
4 Bi 0.5000 0.5000 0.5000
5 Ba 0.0000 0.0000 0.0000

Its space-group type is P4/mmm, No. 123. The energy relative to the elements, uncorrected comes out at -7.56 eV per formula unit. As for the total energy: -0.1532 hartree per atom. The calculated density is 3.400 g/cm3. The calculation puts the volume at 40.18 A^3/atom.

***

Density functional theory data (GGA-PBE) for an optimized crystal structure of TbH2ClO2.

Unit cell a=6.9836 b=6.9836 c=10.8946 alpha=55.02 beta=55.02 gamma=31.57
Fractional positions:
1 H 0.4126 0.9126 0.0847
2 H 0.5874 0.0874 0.9153
3 H 0.8293 0.3293 0.5969
4 H 0.1707 0.6707 0.4031
5 Tb 0.5943 0.0943 0.6386
6 Tb 0.4057 0.9057 0.3614
7 O 0.4235 0.9235 0.1651
8 O 0.5765 0.0765 0.8349
9 O 0.1884 0.6884 0.4792
10 O 0.8116 0.3116 0.5208
11 Cl 0.9101 0.4101 0.7255
12 Cl 0.0899 0.5899 0.2745

The energy relative to the lowest polymorph listed for this composition comes out at 3.99 kcal/mol of atoms. Its space-group type is C2/m, No. 12. As for the total energy: -0.2126 hartree per atom. The calculated density is 3.395 g/cm3. The calculation puts the volume at 18.62 A^3/atom.

***

Density functional theory data (GGA-PBE) for an optimized crystal structure of SmGdIn.

Unit cell a=3.7367 b=3.7367 c=6.9672 alpha=105.55 beta=105.55 gamma=90.00
Fractional positions:
1 Gd 0.9381 0.9381 0.8763
2 Sm 0.6275 0.6275 0.2550
3 In 0.2844 0.2844 0.5687

The energy relative to the lowest polymorph listed for this composition comes out at 0.00 kcal/mol of atoms. Its space-group type is I4mm, No. 107. For the formation energy, the calculation gives -0.32 eV per atom. As for the total energy: -0.2754 hartree per atom. The calculated density is 7.793 g/cm3. The calculation puts the volume at 30.00 A^3/atom.

***

Density functional theory data (GGA-PBE) for an optimized crystal structure of Tb8Sm6Y.

Unit cell a=6.5637 b=9.4851 c=9.4851 alpha=120.00 beta=90.00 gamma=90.00
Fractional positions:
1 Tb 0.8930 0.9829 0.3074
2 Tb 0.8930 0.6926 0.6756
3 Tb 0.8930 0.3244 0.0171
4 Tb 0.1070 0.0171 0.6926
5 Tb 0.1070 0.3074 0.3244
6 Tb 0.1070 0.6756 0.9829
7 Tb 0.8479 0.3333 0.6667
8 Tb 0.1521 0.6667 0.3333
9 Sm 0.6001 0.6776 0.0861
10 Sm 0.6001 0.9139 0.5916
11 Sm 0.6001 0.4084 0.3224
12 Sm 0.3999 0.3224 0.9139
13 Sm 0.3999 0.0861 0.4084
14 Sm 0.3999 0.5916 0.6776
15 Y 0.5000 0.0000 0.0000

The energy relative to the lowest polymorph listed for this composition comes out at 2.36 kcal/mol of atoms. Its space-group type is P-3, No. 147. For the formation energy, the calculation gives 0.22 eV per atom. As for the total energy: -0.1677 hartree per atom. The calculated density is 7.346 g/cm3. The calculation puts the volume at 34.09 A^3/atom.

***

Density functional theory data (GGA-PBE) for an optimized crystal structure of CsSnPtPb2.

Unit cell a=6.1523 b=6.0279 c=6.1523 alpha=90.00 beta=90.00 gamma=90.00
Fractional positions:
1 Pb 0.0000 0.0000 0.5000
2 Pb 0.5000 0.0000 0.0000
3 Cs 0.0000 0.0000 0.0000
4 Sn 0.0000 0.5000 0.0000
5 Pt 0.5000 0.5000 0.5000

Its space-group type is P4/mmm, No. 123. For the formation energy, the calculation gives 1.88 eV per atom. As for the total energy: -0.0655 hartree per atom. The calculated density is 6.267 g/cm3. The calculation puts the volume at 45.63 A^3/atom.

***

Density functional theory data (GGA-PBE) for an optimized crystal structure of TcRu2Br.

Unit cell a=2.8982 b=2.8982 c=7.4064 alpha=90.00 beta=90.00 gamma=90.00
Fractional positions:
1 Ru 0.0000 0.0000 0.0176
2 Ru 0.0000 0.0000 0.4824
3 Tc 0.5000 0.5000 0.2500
4 Br 0.5000 0.5000 0.7500

The energy relative to the lowest polymorph listed for this composition comes out at 0.15 kcal/mol of atoms. Its space-group type is P4/mmm, No. 123. The energy relative to the elements, uncorrected comes out at 2.19 eV per formula unit. As for the total energy: -0.2610 hartree per atom. The calculated density is 10.145 g/cm3. The calculation puts the volume at 15.55 A^3/atom.

***

Density functional theory data (GGA-PBE) for an optimized crystal structure of BaSrAg4.

Unit cell a=4.8459 b=6.4707 c=6.4707 alpha=81.77 beta=67.99 gamma=67.99
Fractional positions:
1 Ba 0.5000 0.5000 0.5000
2 Sr 0.0000 0.0000 0.0000
3 Ag 0.7424 0.5915 0.9238
4 Ag 0.7424 0.9238 0.5915
5 Ag 0.2575 0.4085 0.0762
6 Ag 0.2575 0.0762 0.4085

The energy relative to the lowest polymorph listed for this composition comes out at 0.00 kcal/mol of atoms. Its space-group type is Immm, No. 71. For the formation energy, the calculation gives -0.28 eV per atom. As for the total energy: -0.1022 hartree per atom. The calculated density is 6.250 g/cm3. The calculation puts the volume at 29.07 A^3/atom.

***

Density functional theory data (GGA-PBE) for an optimized crystal structure of NaCd5Hg6.

Unit cell a=6.9216 b=7.5460 c=7.6587 alpha=60.49 beta=79.01 gamma=67.23
Fractional positions:
1 Na 0.0000 0.0000 0.0000
2 Cd 0.5000 0.1258 0.7483
3 Cd 0.0000 0.3070 0.3859
4 Cd 0.5000 0.5000 0.0000
5 Cd 0.0000 0.6930 0.6141
6 Cd 0.5000 0.8742 0.2517
7 Hg 0.7010 0.1049 0.3562
8 Hg 0.2990 0.5389 0.3562
9 Hg 0.1909 0.3066 0.0000
10 Hg 0.8091 0.6934 0.0000
11 Hg 0.7010 0.4611 0.6438
12 Hg 0.2990 0.8951 0.6438

Its space-group type is C2/m, No. 12. For the formation energy, the calculation gives -0.01 eV per atom. As for the total energy: -0.0241 hartree per atom. The calculated density is 9.253 g/cm3. The calculation puts the volume at 26.75 A^3/atom.

***

Density functional theory data (GGA-PBE) for an optimized crystal structure of Cs3SnBr4.

Unit cell a=7.2082 b=7.2484 c=14.1489 alpha=90.00 beta=90.00 gamma=90.00
Fractional positions:
1 Cs 0.5647 0.7558 0.0000
2 Cs 0.0657 0.7511 0.2501
3 Cs 0.5657 0.2489 0.2499
4 Cs 0.0647 0.2442 0.5000
5 Cs 0.5657 0.2489 0.7501
6 Cs 0.0657 0.7511 0.7499
7 Sn 0.0647 0.2569 0.0000
8 Sn 0.5647 0.7431 0.5000
9 Br 0.0644 0.8282 0.0000
10 Br 0.5591 0.2581 0.0000
11 Br 0.0655 0.2528 0.2199
12 Br 0.5655 0.7472 0.2801
13 Br 0.0591 0.7419 0.5000
14 Br 0.5644 0.1718 0.5000
15 Br 0.5655 0.7472 0.7199
16 Br 0.0655 0.2528 0.7801

Its space-group type is Pmn2_1, No. 31. The energy relative to the elements, uncorrected comes out at -10.44 eV per formula unit. As for the total energy: -0.1089 hartree per atom. The calculated density is 3.760 g/cm3. The calculation puts the volume at 46.20 A^3/atom.

***

Density functional theory data (GGA-PBE) for an optimized crystal structure of Ba6Ag3Ir.

Unit cell a=8.0456 b=8.9598 c=11.9221 alpha=90.00 beta=92.58 gamma=90.00
Fractional positions:
1 Ba 0.3140 0.8311 0.9394
2 Ba 0.3433 0.8012 0.5707
3 Ba 0.3543 0.5472 0.2607
4 Ba 0.6457 0.4528 0.7393
5 Ba 0.6567 0.1988 0.4293
6 Ba 0.6860 0.1689 0.0606
7 Ba 0.8140 0.6689 0.4394
8 Ba 0.8433 0.6988 0.0707
9 Ba 0.8543 0.9528 0.7607
10 Ba 0.1457 0.0472 0.2393
11 Ba 0.1567 0.3012 0.9293
12 Ba 0.1860 0.3311 0.5606
13 Ag 0.4483 0.1086 0.7584
14 Ag 0.5000 0.5000 0.0000
15 Ag 0.5517 0.8914 0.2416
16 Ag 0.9483 0.3914 0.2584
17 Ag 0.0000 0.0000 0.5000
18 Ag 0.0517 0.6086 0.7416
19 Ir 0.5000 0.5000 0.5000
20 Ir 0.0000 0.0000 0.0000

Its space-group type is P2_1/c, No. 14. For the formation energy, the calculation gives -0.20 eV per atom. As for the total energy: -0.1136 hartree per atom. The calculated density is 5.183 g/cm3. The calculation puts the volume at 42.93 A^3/atom.

***

Density functional theory data (GGA-PBE) for an optimized crystal structure of Sr2YS.

Unit cell a=10.7516 b=10.7516 c=8.0551 alpha=48.13 beta=48.13 gamma=90.00
Fractional positions:
1 Y 0.0000 0.0000 0.0000
2 Y 0.7500 0.2500 0.5000
3 Sr 0.4919 0.1250 0.2500
4 Sr 0.2581 0.6250 0.2500
5 Sr 0.3750 0.5081 0.7500
6 Sr 0.8750 0.7419 0.7500
7 S 0.5000 0.5000 0.0000
8 S 0.2500 0.7500 0.5000

Its space-group type is I-42d, No. 122. The energy relative to the elements, uncorrected comes out at -2.52 eV per formula unit. As for the total energy: -0.1514 hartree per atom. The calculated density is 3.197 g/cm3. The calculation puts the volume at 38.46 A^3/atom.

***

Density functional theory data (GGA-PBE) for an optimized crystal structure of Ta2CoRh.

Unit cell a=2.8513 b=2.8513 c=7.4079 alpha=90.00 beta=90.00 gamma=89.99
Fractional positions:
1 Co 0.5000 0.5000 0.2500
2 Rh 0.5000 0.5000 0.7500
3 Ta 0.0000 0.0000 0.0138
4 Ta 0.0000 0.0000 0.4862

Its space-group type is P4/mmm, No. 123. For the formation energy, the calculation gives -0.30 eV per atom. As for the total energy: -0.3615 hartree per atom. The calculated density is 14.441 g/cm3. The calculation puts the volume at 15.06 A^3/atom.

***

Density functional theory data (GGA-PBE) for an optimized crystal structure of PmBeI.

Unit cell a=4.1113 b=4.1113 c=12.4145 alpha=80.47 beta=80.47 gamma=60.00
Fractional positions:
1 Pm 0.4492 0.4492 0.6523
2 Pm 0.5508 0.5508 0.3477
3 Be 0.1663 0.1663 0.5011
4 Be 0.8337 0.8337 0.4989
5 I 0.7233 0.7233 0.8302
6 I 0.2767 0.2767 0.1698

The energy relative to the lowest polymorph listed for this composition comes out at 0.00 kcal/mol of atoms. Its space-group type is R-3m, No. 166. The energy relative to the elements, uncorrected comes out at -1.88 eV per formula unit. As for the total energy: -0.1459 hartree per atom. The calculated density is 5.230 g/cm3. The calculation puts the volume at 29.73 A^3/atom.

***

Density functional theory data (GGA-PBE) for an optimized crystal structure of Rb4HAu2.

Unit cell a=4.7096 b=7.5235 c=9.7081 alpha=122.79 beta=90.00 gamma=108.24
Fractional positions:
1 Rb 0.9233 0.8466 0.6392
2 Rb 0.0767 0.1534 0.3608
3 Rb 0.6653 0.3306 0.0776
4 Rb 0.3347 0.6694 0.9224
5 H 0.0000 0.0000 0.0000
6 Au 0.6146 0.2292 0.6618
7 Au 0.3854 0.7708 0.3382

The energy relative to the lowest polymorph listed for this composition comes out at 0.00 kcal/mol of atoms. Its space-group type is C2/m, No. 12. As for the total energy: -0.0797 hartree per atom. The calculated density is 4.559 g/cm3. The calculation puts the volume at 38.34 A^3/atom.

***

Density functional theory data (GGA-PBE) for an optimized crystal structure of TiReMoW2.

Unit cell a=2.8952 b=8.0861 c=7.6684 alpha=90.00 beta=90.00 gamma=100.31
Fractional positions:
1 Ti 0.4158 0.8316 0.7500
2 Ti 0.5842 0.1684 0.2500
3 Re 0.7604 0.5209 0.7500
4 Re 0.2396 0.4791 0.2500
5 Mo 0.0000 0.0000 0.0000
6 Mo 0.0000 0.0000 0.5000
7 W 0.1615 0.3229 0.9569
8 W 0.8385 0.6771 0.0431
9 W 0.1615 0.3229 0.5431
10 W 0.8385 0.6771 0.4569

Its space-group type is Cmcm, No. 63. For the formation energy, the calculation gives 0.63 eV per atom. As for the total energy: -0.3964 hartree per atom. The calculated density is 13.119 g/cm3. The calculation puts the volume at 17.66 A^3/atom.

***

Density functional theory data (GGA-PBE) for an optimized crystal structure of Ta2Fe3B2.

Unit cell a=3.1870 b=3.0591 c=8.4168 alpha=100.47 beta=90.00 gamma=90.00
Fractional positions:
1 Ta 0.0000 0.8301 0.6602
2 Ta 0.0000 0.1699 0.3398
3 Fe 0.5000 0.5787 0.1574
4 Fe 0.5000 0.4213 0.8426
5 Fe 0.0000 0.0000 0.0000
6 B 0.5000 0.7211 0.4422
7 B 0.5000 0.2789 0.5578

Its space-group type is Cmmm, No. 65. For the formation energy, the calculation gives -0.43 eV per atom. As for the total energy: -0.3436 hartree per atom. The calculated density is 11.340 g/cm3. The calculation puts the volume at 11.53 A^3/atom.

***

| no. | N(E_F) (states/eV/atom) |
| --- | --- |
| 1 | 0.789 |
| 2 | 0.545 |
| 3 | 1.749 |
| 4 | 0.216 |
| 5 | 0.457 |
| 6 | 0.000 |
| 7 | 0.885 |
| 8 | 1.526 |
| 9 | 1.529 |
| 10 | 0.993 |
| 11 | 0.365 |
| 12 | 0.308 |
| 13 | 0.177 |
| 14 | 0.702 |
| 15 | 1.348 |
| 16 | 0.771 |
| 17 | 0.526 |
| 18 | 0.419 |
| 19 | 1.006 |
| 20 | 0.399 |